Computed, not measured: a geometry-optimized SmSn4Rh2 structure at the PBE level of DFT.

Results
As for the symmetry: Pnma. The energy of formation is -0.629 eV/atom.

a = 4.5060 Å, b = 7.2351 Å, c = 18.5525 Å
α = 90.00°, β = 90.00°, γ = 90.00°
Element x y z (fractional)
1 Rh 0.7500 0.7503 0.4656
2 Sn 0.2500 0.9780 0.4327
3 Rh 0.2500 0.2497 0.5344
4 Sm 0.7500 0.4972 0.6421
5 Rh 0.7500 0.9823 0.7137
6 Rh 0.7500 0.7497 0.9656
7 Sn 0.2500 0.6322 0.5325
8 Sn 0.7500 0.6985 0.8181
9 Sm 0.7500 0.0028 0.1421
10 Rh 0.2500 0.2503 0.0344
11 Sn 0.7500 0.1322 0.9675
12 Sn 0.7500 0.0220 0.5673
13 Rh 0.2500 0.4823 0.7863
14 Sn 0.2500 0.3015 0.1819
15 Sn 0.7500 0.4780 0.0673
16 Sn 0.2500 0.7768 0.6942
17 Sn 0.7500 0.8015 0.3181
18 Sm 0.2500 0.9972 0.8579
19 Sn 0.2500 0.5220 0.9327
20 Sn 0.2500 0.7232 0.1942
21 Sn 0.7500 0.2232 0.3058
22 Sn 0.2500 0.1985 0.6819
23 Sn 0.7500 0.3678 0.4675
24 Rh 0.7500 0.5177 0.2137
25 Sn 0.7500 0.2768 0.8058
26 Sm 0.2500 0.5028 0.3579
27 Sn 0.2500 0.8678 0.0325
28 Rh 0.2500 0.0177 0.2863